The following is a DFT calculation (PBE-GGA) of crystalline Li6AlCd12 at its relaxed geometry.

Properties
Energy relative to the elements   -3.2 eV per formula unit

Unit cell a=7.225 b=7.225 c=7.225 alpha=90.88 beta=90.88 gamma=90.88
Fractional coordinates of all 19 atoms:
Li 0.268 0.110 0.734
Li 0.890 0.266 0.732
Li 0.266 0.732 0.890
Li 0.732 0.890 0.266
Li 0.110 0.734 0.268
Li 0.734 0.268 0.110
Al 0.000 0.000 0.000
Cd 0.568 0.196 0.470
Cd 0.196 0.470 0.568
Cd 0.470 0.568 0.196
Cd 0.432 0.804 0.530
Cd 0.804 0.530 0.432
Cd 0.530 0.432 0.804
Cd 0.974 0.849 0.628
Cd 0.372 0.026 0.151
Cd 0.151 0.372 0.026
Cd 0.026 0.151 0.372
Cd 0.628 0.974 0.849
Cd 0.849 0.628 0.974